Record 1
# NaNiBr (PBE, optimized geometry)
data_NaNiBr
_chemical_formula_sum 'Na2 Ni2 Br2'
_space_group_name_H-M_alt 'P 63/m m c'
_space_group_IT_number 194
_space_group_name_Hall '-P 6c 2c'
_cell_length_a 4.0790
_cell_length_b 4.0790
_cell_length_c 8.7371
_cell_angle_alpha 90.00
_cell_angle_beta 90.00
_cell_angle_gamma 120.00
loop_
_atom_site_label
_atom_site_fract_x
_atom_site_fract_y
_atom_site_fract_z
_atom_site_occupancy
Na1 0.0000 0.0000 0.0000 1
Ni1 0.3333 0.6667 0.2500 1
Br1 0.3333 0.6667 0.7500 1
# - E_form (uncorrected): -16.17 kJ/mol of atoms
# - Total DFT energy (no corrections): -3.09 eV/atom
# - Spin magnetization: 0.00 μB per formula unit
# - Calculated volume: 20.982 Å³ per atom
# - Energy relative to the lowest polymorph listed for this composition: 0.231 eV/atom



Record 2
# NaNiBr (PBE, optimized geometry)
data_NaNiBr
_chemical_formula_sum 'Na4 Ni4 Br4'
_space_group_name_H-M_alt 'C 1 m 1'
_space_group_IT_number 8
_space_group_name_Hall 'C -2y'
_cell_length_a 10.776
_cell_length_b 3.938
_cell_length_c 8.204
_cell_angle_alpha 90.00
_cell_angle_beta 118.94
_cell_angle_gamma 90.00
loop_
_atom_site_label
_atom_site_fract_x
_atom_site_fract_y
_atom_site_fract_z
_atom_site_occupancy
Na1 0.000 0.000 0.000 1
Na2 0.030 0.000 0.511 1
Ni1 0.274 0.500 0.129 1
Ni2 0.399 0.000 0.191 1
Br1 0.071 0.500 0.796 1
Br2 0.156 0.500 0.322 1
# - E_form (uncorrected): -29.92 kJ/mol of atoms
# - Total DFT energy (no corrections): -3.23 eV/atom
# - Spin magnetization: 0.83 μB per formula unit
# - Calculated volume: 25.388 Å³ per atom
# - Energy relative to the lowest polymorph listed for this composition: 0.089 eV/atom



Record 3
# Na3NiBr6 (PBE, optimized geometry)
data_Na3NiBr6
_chemical_formula_sum 'Na18 Ni6 Br36'
_space_group_name_H-M_alt 'R -3'
_space_group_IT_number 148
_space_group_name_Hall '-R 3'
_cell_length_a 11.7549
_cell_length_b 11.7549
_cell_length_c 14.3854
_cell_angle_alpha 90.00
_cell_angle_beta 90.00
_cell_angle_gamma 120.00
loop_
_atom_site_label
_atom_site_fract_x
_atom_site_fract_y
_atom_site_fract_z
_atom_site_occupancy
Na1 0.0615 0.4689 0.3698 1
Ni1 0.0000 0.0000 0.0000 1
Ni2 0.0000 0.0000 0.5000 1
Br1 0.0050 0.1782 0.9006 1
Br2 0.0569 0.1938 0.4000 1
# - E_form (uncorrected): -94.78 kJ/mol of atoms
# - Total DFT energy (no corrections): -2.96 eV/atom
# - Spin magnetization: 1.01 μB per formula unit
# - Calculated volume: 28.690 Å³ per atom



Record 4
# Na2NiBr (PBE, optimized geometry)
data_Na2NiBr
_chemical_formula_sum 'Na8 Ni4 Br4'
_space_group_name_H-M_alt 'F m -3 m'
_space_group_IT_number 225
_space_group_name_Hall '-F 4 2 3'
_cell_length_a 7.331
_cell_length_b 7.331
_cell_length_c 7.331
_cell_angle_alpha 90.00
_cell_angle_beta 90.00
_cell_angle_gamma 90.00
loop_
_atom_site_label
_atom_site_fract_x
_atom_site_fract_y
_atom_site_fract_z
_atom_site_occupancy
Na1 0.250 0.250 0.250 1
Ni1 0.000 0.000 0.000 1
Br1 0.000 0.000 0.500 1
# - E_form (uncorrected): -0.77 kJ/mol of atoms
# - Total DFT energy (no corrections): -2.53 eV/atom
# - Spin magnetization: 1.00 μB per formula unit
# - Calculated volume: 24.628 Å³ per atom
# - Energy relative to the lowest polymorph listed for this composition: 0.005 eV/atom



Record 5
# NaNiBr (PBE, optimized geometry)
data_NaNiBr
_chemical_formula_sum 'Na4 Ni4 Br4'
_space_group_name_H-M_alt 'F -4 3 m'
_space_group_IT_number 216
_space_group_name_Hall 'F -4 2 3'
_cell_length_a 6.179
_cell_length_b 6.179
_cell_length_c 6.179
_cell_angle_alpha 90.00
_cell_angle_beta 90.00
_cell_angle_gamma 90.00
loop_
_atom_site_label
_atom_site_fract_x
_atom_site_fract_y
_atom_site_fract_z
_atom_site_occupancy
Na1 0.000 0.000 0.000 1
Ni1 0.250 0.250 0.750 1
Br1 0.000 0.000 0.500 1
# - E_form (uncorrected): 10.90 kJ/mol of atoms
# - Total DFT energy (no corrections): -2.81 eV/atom
# - Spin magnetization: 0.00 μB per formula unit
# - Calculated volume: 19.658 Å³ per atom
# - Energy relative to the lowest polymorph listed for this composition: 0.512 eV/atom



Record 6
# NaNiBr (PBE, optimized geometry)
data_NaNiBr
_chemical_formula_sum 'Na4 Ni4 Br4'
_space_group_name_H-M_alt 'C 1 m 1'
_space_group_IT_number 8
_space_group_name_Hall 'C -2y'
_cell_length_a 10.587
_cell_length_b 3.531
_cell_length_c 7.380
_cell_angle_alpha 90.00
_cell_angle_beta 98.51
_cell_angle_gamma 90.00
loop_
_atom_site_label
_atom_site_fract_x
_atom_site_fract_y
_atom_site_fract_z
_atom_site_occupancy
Na1 0.000 0.000 0.000 1
Na2 0.141 0.500 0.412 1
Ni1 0.342 0.000 0.216 1
Ni2 0.415 0.500 0.421 1
Br1 0.229 0.500 0.029 1
Br2 0.426 0.000 0.645 1
# - E_form (uncorrected): -31.81 kJ/mol of atoms
# - Total DFT energy (no corrections): -3.25 eV/atom
# - Spin magnetization: 0.00 μB per formula unit
# - Calculated volume: 22.736 Å³ per atom
# - Energy relative to the lowest polymorph listed for this composition: 0.069 eV/atom



Record 7
# NaNiBr2 (PBE, optimized geometry)
data_NaNiBr2
_chemical_formula_sum 'Na4 Ni4 Br8'
_space_group_name_H-M_alt 'F m -3 m'
_space_group_IT_number 225
_space_group_name_Hall '-F 4 2 3'
_cell_length_a 7.004
_cell_length_b 7.004
_cell_length_c 7.004
_cell_angle_alpha 90.00
_cell_angle_beta 90.00
_cell_angle_gamma 90.00
loop_
_atom_site_label
_atom_site_fract_x
_atom_site_fract_y
_atom_site_fract_z
_atom_site_occupancy
Na1 0.000 0.000 0.000 1
Ni1 0.000 0.000 0.500 1
Br1 0.250 0.250 0.250 1
# - E_form (uncorrected): -27.17 kJ/mol of atoms
# - Total DFT energy (no corrections): -2.89 eV/atom
# - Spin magnetization: 1.00 μB per formula unit
# - Calculated volume: 21.478 Å³ per atom
# - Energy relative to the lowest polymorph listed for this composition: 0.364 eV/atom



Record 8
# NaNiBr (PBE, optimized geometry)
data_NaNiBr
_chemical_formula_sum 'Na2 Ni2 Br2'
_space_group_name_H-M_alt 'P 1 m 1'
_space_group_IT_number 6
_space_group_name_Hall 'P -2y'
_cell_length_a 4.270
_cell_length_b 4.251
_cell_length_c 7.817
_cell_angle_alpha 90.00
_cell_angle_beta 102.40
_cell_angle_gamma 90.00
loop_
_atom_site_label
_atom_site_fract_x
_atom_site_fract_y
_atom_site_fract_z
_atom_site_occupancy
Na1 0.000 0.000 0.000 1
Na2 0.153 0.500 0.447 1
Ni1 0.457 0.500 0.843 1
Ni2 0.547 0.500 0.169 1
Br1 0.392 0.000 0.735 1
Br2 0.613 0.000 0.286 1
# - E_form (uncorrected): -20.09 kJ/mol of atoms
# - Total DFT energy (no corrections): -3.13 eV/atom
# - Spin magnetization: 0.00 μB per formula unit
# - Calculated volume: 23.097 Å³ per atom
# - Energy relative to the lowest polymorph listed for this composition: 0.190 eV/atom



> Which value of total DFT energy (no corrections) does entry 1 give?

-3.09 eV/atom



> Which value of calculated volume does entry 5 give?

19.658 Å³ per atom